Record 1
Crystalline K2CuSn4Au3 at its relaxed geometry. Source: Alexandria, functional PBE.

Cell: 4.9301 4.9301 10.9112 Å, 90.00 90.00 90.00°
Atoms (fractional coordinates):
Sn: 0.0000 0.5000 0.3892
Sn: 0.5000 0.0000 0.6108
Sn: 0.0000 0.0000 0.0000
Sn: 0.5000 0.5000 0.0000
Cu: 0.5000 0.5000 0.5000
Au: 0.0000 0.5000 0.1331
Au: 0.0000 0.0000 0.5000
Au: 0.5000 0.0000 0.8669
K: 0.0000 0.5000 0.7419
K: 0.5000 0.0000 0.2581

Summary:
- ΔE_f: -226 meV/atom
- V: 26.52 Å³/atom
- Magnetic moment: 0.00 μB/f.u.

Record 2
Crystalline Ce4RuSe2Cl at its relaxed geometry. Source: Alexandria, functional PBE.

Cell: 4.0375 7.2907 7.1760 Å, 71.48 90.00 90.00°
Site moments in Bohr magnetons follow the coordinates.
Atoms (fractional coordinates):
Cl: 0.5000 0.5000 0.0000  -0.01
Ce: 0.5000 0.7312 0.2689  0.52
Ce: 0.0000 0.7403 0.7428  0.77
Ce: 0.5000 0.2688 0.7311  0.52
Ce: 0.0000 0.2597 0.2572  0.77
Se: 0.5000 0.0000 0.5000  -0.02
Se: 0.0000 0.0000 0.0000  -0.01
Ru: 0.0000 0.5000 0.5000  -0.12

Summary:
- V: 25.04 Å³/atom
- Magnetic moment: 3.06 μB/f.u.
- Uncorrected formation energy: -1316.2 meV per atom

Record 3
Crystalline Sm2ZnGa3Cu12 at its relaxed geometry. Source: Alexandria, functional PBE.

Cell: 7.2800 7.2800 7.2800 Å, 69.36 69.36 69.36°
Atoms (fractional coordinates):
Sm: 0.3996 0.3996 0.3996
Sm: 0.6004 0.6004 0.6004
Cu: 0.1467 0.1467 0.6541
Cu: 0.6207 0.0030 0.6207
Cu: 0.6541 0.1467 0.1467
Cu: 0.0030 0.6207 0.6207
Cu: 0.3459 0.8533 0.8533
Cu: 0.6207 0.6207 0.0030
Cu: 0.3793 0.3793 0.9970
Cu: 0.3793 0.9970 0.3793
Cu: 0.1467 0.6541 0.1467
Cu: 0.8533 0.8533 0.3459
Cu: 0.9970 0.3793 0.3793
Cu: 0.8533 0.3459 0.8533
Ga: 0.5000 0.0000 0.0000
Ga: 0.0000 0.0000 0.5000
Ga: 0.0000 0.5000 0.0000
Zn: 0.0000 0.0000 0.0000

Summary:
- ΔE_f: 216 meV/atom
- V: 18.12 Å³/atom
- Magnetic moment: 0.00 μB/f.u.

Record 4
Crystalline SrZrTe2 at its relaxed geometry. Source: Alexandria, functional PBE.

Cell: 10.4391 10.4391 10.4391 Å, 22.58 22.58 22.58°
Atoms (fractional coordinates):
Zr: 0.5000 0.5000 0.5000
Sr: 0.0000 0.0000 0.0000
Te: 0.8912 0.8912 0.8912
Te: 0.1088 0.1088 0.1088

Summary:
- V: 36.80 Å³/atom
- Magnetic moment: 0.00 μB/f.u.
- Uncorrected formation energy: -764.5 meV per atom
- Energy above the most stable polymorph in this dataset: 310 meV/atom

Record 5
Crystalline CuSnN at its relaxed geometry. Source: Alexandria, functional PBE.

Cell: 3.3710 4.2909 6.2237 Å, 90.00 90.07 90.00°
Atoms (fractional coordinates):
N: 0.7498 0.2172 0.8750
N: 0.2502 0.7172 0.1250
Cu: 0.7399 0.4535 0.6012
Cu: 0.2601 0.9535 0.3988
Sn: 0.2495 0.9223 0.8124
Sn: 0.7505 0.4223 0.1876

Summary:
- V: 15.00 Å³/atom
- Magnetic moment: 0.00 μB/f.u.
- Uncorrected formation energy: 239.9 meV per atom
- Energy above the most stable polymorph in this dataset: 4 meV/atom

Record 6
Crystalline SrIrC2O8 at its relaxed geometry. Source: Alexandria, functional PBE.

Cell: 4.5601 4.5601 7.3683 Å, 86.20 86.20 65.45°
Atoms (fractional coordinates):
C: 0.3634 0.3634 0.7961
C: 0.6366 0.6366 0.2039
O: 0.7096 0.2464 0.8057
O: 0.2990 0.2990 0.6363
O: 0.7484 0.7484 0.0436
O: 0.2904 0.7536 0.1943
O: 0.7536 0.2904 0.1943
O: 0.2516 0.2516 0.9564
O: 0.2464 0.7096 0.8057
O: 0.7010 0.7010 0.3637
Sr: 0.0000 0.0000 0.5000
Ir: 0.0000 0.0000 0.0000

Summary:
- V: 11.58 Å³/atom
- Magnetic moment: 0.00 μB/f.u.
- Uncorrected formation energy: -1229.2 meV per atom